NaLaEr | PBE-GGA | relaxed

```
data_NaLaEr
_space_group_name_H-M_alt 'P 1'
_space_group_IT_number 1
_cell_length_a 5.686
_cell_length_b 5.686
_cell_length_c 7.310
_cell_angle_alpha 89.99
_cell_angle_beta 89.99
_cell_angle_gamma 59.98
loop_
_space_group_symop_operation_xyz
'x,y,z'
loop_
_atom_site_label
_atom_site_fract_x
_atom_site_fract_y
_atom_site_fract_z
La1 0.295 0.645 0.523
La2 0.295 0.645 0.059
Er1 0.629 0.979 0.291
Er2 0.962 0.312 0.291
Na1 0.629 0.979 0.791
Na2 0.962 0.312 0.790
```

formation energy: 0.1665 eV/atom
space group: P-3m1, No. 164
calculated density: 5.34 g/cm³
total moment: 0.000 μB/cell
energy above the most stable polymorph in this dataset: 7.5 meV per atom